## 1
BeZnSi2: relaxed, PBE.

abc: 4.2445 4.2445 4.2445
angles: 60.00 60.00 60.00
Closest atoms and distances in Å follow each position.
Element x y z (fractional)
1 Be 0.5000 0.5000 0.5000  4 Si 2.60, 4 Zn 2.60
2 Zn 0.7500 0.7500 0.7500  4 Si 2.60, 4 Be 2.60
3 Si 0.0000 0.0000 0.0000  4 Si 2.60, 4 Zn 2.60
4 Si 0.2500 0.2500 0.2500  4 Be 2.60, 4 Si 2.60

Calculated values
* magnetic moment: 0.000 μB/atom

=====

## 2
BeZnSi2: relaxed, PBE.

abc: 2.5291 3.4591 6.4069
angles: 90.00 90.00 90.00
Closest atoms and distances in Å follow each position.
Element x y z (fractional)
1 Be 0.5000 0.5000 0.7500  8 Si 2.49, 2 Be 2.53
2 Zn 0.5000 0.5000 0.2500  2 Zn 2.53
3 Si 0.0000 0.0000 0.9494  4 Be 2.49, 3 Si 2.53-2.56
4 Si 0.0000 0.0000 0.5506  4 Be 2.49, 3 Si 2.53-2.56

Calculated values
* magnetic moment: 0.000 μB/atom

=====

## 3
BeZnSi2: relaxed, PBE.

abc: 3.4545 2.5420 6.5365
angles: 81.71 90.00 90.00
Closest atoms and distances in Å follow each position.
Element x y z (fractional)
1 Be 0.5000 0.7500 0.7500  8 Si 2.48-2.50, 2 Be 2.54
2 Zn 0.5000 0.2500 0.2500  2 Zn 2.54, 4 Si 2.66
3 Si 0.0000 0.1676 0.9460  4 Be 2.48-2.50, 3 Si 2.54, 2 Zn 2.66
4 Si 0.0000 0.3324 0.5540  4 Be 2.48-2.50, 3 Si 2.54, 2 Zn 2.66

Calculated values
* magnetic moment: 0.000 μB/atom

=====

## 4
BeZnSi2: relaxed, PBE.

abc: 5.8563 5.8563 5.8563
angles: 155.04 139.24 48.39
Closest atoms and distances in Å follow each position.
Element x y z (fractional)
1 Be 0.2500 0.7500 0.5000  4 Zn 2.40, 4 Si 2.44, 2 Be 2.53
2 Zn 0.7500 0.2500 0.5000  4 Be 2.40, 2 Zn 2.53
3 Si 0.0553 0.0553 0.0000  2 Be 2.44, 6 Si 2.53-2.67
4 Si 0.4447 0.4447 0.0000  2 Be 2.44, 6 Si 2.53-2.67

Calculated values
* magnetic moment: 0.000 μB/atom

=====

Most stable structure among those shown: 4. Next: +1.0 kJ/mol of atoms.